Entry from Alexandria via LeMat-Bulk: Nb6CrMo5 after structural relaxation (PBE).

Unit cell a=4.5601 b=6.4243 c=7.8704 alpha=114.09 beta=106.86 gamma=90.00
With the nearest neighbours (Å) after each atom.
Sites, in units of the cell vectors:
1 Cr 0.0000 0.0000 0.0000  8 Nb 2.76-2.78
2 Nb 0.8349 0.5866 0.6697  1 Cr 2.76, 7 Mo 2.77-2.82
3 Nb 0.8349 0.0831 0.6697  1 Cr 2.76, 7 Mo 2.77-2.82
4 Nb 0.5000 0.7533 0.0000  6 Mo 2.76-2.80, 2 Cr 2.78
5 Nb 0.5000 0.2467 0.0000  6 Mo 2.76-2.80, 2 Cr 2.78
6 Nb 0.1651 0.9169 0.3303  1 Cr 2.76, 7 Mo 2.77-2.82
7 Nb 0.1651 0.4134 0.3303  1 Cr 2.76, 7 Mo 2.77-2.82
8 Mo 0.6655 0.1655 0.3311  8 Nb 2.76-2.82
9 Mo 0.3335 0.3335 0.6670  8 Nb 2.79-2.80
10 Mo 0.0000 0.5000 0.0000  8 Nb 2.77-2.80
11 Mo 0.6665 0.6665 0.3330  8 Nb 2.79-2.80
12 Mo 0.3345 0.8345 0.6690  8 Nb 2.76-2.82

Output
The formation energy comes out at -99 meV per atom. As for the magnetization: 0.00 Bohr magnetons per cell. As for the space group: Immm (71).